Record 1
Ho2HfC3, relaxed, DFT GGA-PBE; total DFT energy (no corrections) = -48.576 eV/f.u.; ρ = 10.3 g cm⁻³; space group = P-3m1, No. 164
1.0
-1.831 -2.548 1.423
2.040 -0.645 -2.700
6.505 -1.702 5.322
Ho C Hf
2 3 1
Direct
0.667 0.333 0.173 Ho
0.333 0.667 0.827 Ho
0.333 0.667 0.354 C
0.000 0.000 0.000 C
0.667 0.333 0.646 C
0.000 0.000 0.500 Hf

***

Record 2
HoHf3In2C2, relaxed, DFT GGA-PBE; total DFT energy (no corrections) = -63.340 eV/f.u.; ρ = 10.6 g cm⁻³; space group = P3m1, No. 156
1.0
-0.334 -0.111 3.351
2.714 -1.352 -1.468
7.282 13.348 1.169
In Hf C Ho
2 3 2 1
Direct
0.667 0.333 0.740 In
0.333 0.667 0.253 In
0.667 0.333 0.088 Hf
0.333 0.667 0.575 Hf
0.667 0.333 0.416 Hf
0.000 0.000 0.496 C
0.000 0.000 0.015 C
0.333 0.667 0.916 Ho

***

Record 3
HoHfInC, relaxed, DFT GGA-PBE; total DFT energy (no corrections) = -28.678 eV/f.u.; ρ = 9.8 g cm⁻³; space group = P6_3mc, No. 186
1.0
-3.405 -0.366 0.177
1.869 0.069 2.874
-1.631 15.499 0.690
Ho Hf In C
2 2 2 2
Direct
0.333 0.667 0.915 Ho
0.667 0.333 0.415 Ho
0.333 0.667 0.581 Hf
0.667 0.333 0.081 Hf
0.667 0.333 0.744 In
0.333 0.667 0.244 In
0.000 0.000 0.511 C
0.000 0.000 0.011 C

***

Record 4
HoHfInC, relaxed, DFT GGA-PBE; total DFT energy (no corrections) = -28.553 eV/f.u.; ρ = 9.8 g cm⁻³; space group = P-3m1, No. 164
1.0
-2.461 0.604 -2.323
1.687 -2.996 -0.022
-10.630 -6.058 9.685
In Hf Ho C
2 2 2 2
Direct
0.667 0.333 0.763 In
0.333 0.667 0.237 In
0.667 0.333 0.076 Hf
0.333 0.667 0.924 Hf
0.667 0.333 0.412 Ho
0.333 0.667 0.588 Ho
0.000 0.000 0.500 C
0.000 0.000 0.000 C

***

Record 5
HoHfInC, relaxed, DFT GGA-PBE; total DFT energy (no corrections) = -28.690 eV/f.u.; ρ = 9.9 g cm⁻³; space group = P-6m2, No. 187
1.0
3.425 0.000 0.000
-1.712 2.966 0.000
0.000 0.000 15.602
Hf C Ho In
2 2 2 2
Direct
0.667 0.333 0.661 Hf
0.667 0.333 0.339 Hf
0.000 0.000 0.731 C
0.000 0.000 0.269 C
0.333 0.667 0.173 Ho
0.333 0.667 0.827 Ho
0.333 0.667 0.500 In
0.667 0.333 0.000 In

***

Record 6
HoHfPbC, relaxed, DFT GGA-PBE; total DFT energy (no corrections) = -29.673 eV/f.u.; ρ = 11.6 g cm⁻³; space group = P-3m1, No. 164
1.0
3.480 0.000 0.000
-1.740 3.013 0.000
0.000 0.000 15.418
Ho C Pb Hf
2 2 2 2
Direct
0.667 0.333 0.587 Ho
0.333 0.667 0.413 Ho
0.000 0.000 0.000 C
0.000 0.000 0.500 C
0.667 0.333 0.237 Pb
0.333 0.667 0.763 Pb
0.333 0.667 0.076 Hf
0.667 0.333 0.924 Hf

***

Record 7
HoHfPbC, relaxed, DFT GGA-PBE; total DFT energy (no corrections) = -29.848 eV/f.u.; ρ = 11.6 g cm⁻³; space group = P6_3mc, No. 186
1.0
3.467 0.000 0.000
-1.733 3.003 0.000
0.000 0.000 15.423
Ho Hf Pb C
2 2 2 2
Direct
0.333 0.667 0.416 Ho
0.667 0.333 0.916 Ho
0.333 0.667 0.081 Hf
0.667 0.333 0.581 Hf
0.333 0.667 0.743 Pb
0.667 0.333 0.243 Pb
0.000 0.000 0.010 C
0.000 0.000 0.510 C

***

Record 8
HoHfPbC, relaxed, DFT GGA-PBE; total DFT energy (no corrections) = -29.812 eV/f.u.; ρ = 11.6 g cm⁻³; space group = P-6m2, No. 187
1.0
3.469 0.000 0.000
-1.734 3.004 0.000
0.000 0.000 15.413
C Pb Hf Ho
2 2 2 2
Direct
0.000 0.000 0.768 C
0.000 0.000 0.232 C
0.333 0.667 0.500 Pb
0.667 0.333 0.000 Pb
0.333 0.667 0.161 Hf
0.333 0.667 0.839 Hf
0.667 0.333 0.326 Ho
0.667 0.333 0.674 Ho

***

Record 9
HoHf3Pb2C2, relaxed, DFT GGA-PBE; total DFT energy (no corrections) = -65.174 eV/f.u.; ρ = 12.4 g cm⁻³; space group = P3m1, No. 156
1.0
-3.079 -0.890 1.191
1.769 -2.173 -1.959
6.446 -5.841 12.303
Hf C Pb Ho
3 2 2 1
Direct
0.667 0.333 0.087 Hf
0.667 0.333 0.417 Hf
0.000 0.000 0.575 Hf
0.333 0.667 0.014 C
0.333 0.667 0.496 C
0.000 0.000 0.253 Pb
0.667 0.333 0.740 Pb
0.000 0.000 0.918 Ho

***

Record 10
HoHfSnC, relaxed, DFT GGA-PBE; total DFT energy (no corrections) = -30.478 eV/f.u.; ρ = 10.1 g cm⁻³; space group = P-6m2, No. 187
1.0
-1.791 2.492 -1.568
2.058 -2.062 -1.841
-11.532 -9.621 -2.113
Hf C Sn Ho
2 2 2 2
Direct
0.333 0.667 0.159 Hf
0.333 0.667 0.841 Hf
0.000 0.000 0.232 C
0.000 0.000 0.768 C
0.667 0.333 0.000 Sn
0.333 0.667 0.500 Sn
0.667 0.333 0.672 Ho
0.667 0.333 0.328 Ho

***

Record 11
HoHfSnC, relaxed, DFT GGA-PBE; total DFT energy (no corrections) = -30.325 eV/f.u.; ρ = 10.0 g cm⁻³; space group = P-3m1, No. 164
1.0
3.455 0.000 0.000
-1.727 2.992 0.000
0.000 0.000 15.165
Hf Sn C Ho
2 2 2 2
Direct
0.333 0.667 0.079 Hf
0.667 0.333 0.921 Hf
0.333 0.667 0.764 Sn
0.667 0.333 0.236 Sn
0.000 0.000 0.500 C
0.000 0.000 0.000 C
0.333 0.667 0.411 Ho
0.667 0.333 0.589 Ho

***

Record 12
HoHf3Sn2C2, relaxed, DFT GGA-PBE; total DFT energy (no corrections) = -66.685 eV/f.u.; ρ = 10.8 g cm⁻³; space group = P3m1, No. 156
1.0
-2.625 -0.064 -2.142
2.150 -2.617 0.124
-8.387 -6.397 10.470
Sn Ho C Hf
2 1 2 3
Direct
0.000 0.000 0.253 Sn
0.667 0.333 0.740 Sn
0.000 0.000 0.916 Ho
0.333 0.667 0.014 C
0.333 0.667 0.496 C
0.000 0.000 0.577 Hf
0.667 0.333 0.415 Hf
0.667 0.333 0.090 Hf

***

It is found that the total moment values, taken in the order of the records, are 0.001, 0.000, 0.000, 0.000, 0.010, 0.000, 0.000, 0.001, 0.002, 0.001, 0.000, 0.001 μB/atom.